[1]
Below is a relaxed Nd3Zn4Sn4 crystal, with properties calculated at the GGA-PBE level.

Properties
Magnetization, μB/f.u.: 0.0
SG: C2/m
Energy relative to the elements, kJ/mol of formula units: -488

POSCAR file:
```
Nd3Zn4Sn4
1.0
-1.323 4.207 -1.126
-3.534 -1.607 -1.859
-4.246 -0.236 13.264
Sn Nd Zn
4 3 4
Cartesian
-4.316 -0.401 3.566
-4.787 2.765 6.713
-5.985 0.956 10.559
-3.118 1.409 -0.280
0.000 0.000 0.000
-6.498 -0.049 7.415
-2.605 2.413 2.864
-5.727 1.823 4.332
-3.045 -0.602 1.316
-3.376 0.541 5.947
-6.058 2.967 8.963
```



[2]
Below is a relaxed Tm2Cd crystal, with properties calculated at the GGA-PBE level.

Properties
Magnetization, μB/f.u.: 0.0
SG: P4/mmm
Energy relative to the elements, kJ/mol of formula units: -55

POSCAR file:
```
Tm2Cd
1.0
3.550 0.000 0.000
0.000 3.550 0.000
0.000 0.000 12.916
Tm Cd
4 2
Cartesian
1.775 1.775 8.897
1.775 1.775 0.000
0.000 0.000 6.458
1.775 1.775 4.019
0.000 0.000 10.941
0.000 0.000 1.975
```



[3]
Below is a relaxed KCuAg2 crystal, with properties calculated at the GGA-PBE level.

Properties
Distance to the lowest polymorph of the same formula, kJ per mole of atoms: 0.00
Magnetization, μB/f.u.: 0.0
SG: P2/m
Energy relative to the elements, kJ/mol of formula units: 89

POSCAR file:
```
KCuAg2
1.0
3.827 0.000 0.000
0.000 2.947 0.013
0.000 2.996 7.900
Ag Cu K
2 1 1
Cartesian
0.000 2.961 0.595
0.000 2.958 3.374
1.913 1.486 1.978
1.913 4.457 5.935
```



[4]
Below is a relaxed CaPrEr2In4 crystal, with properties calculated at the GGA-PBE level.

Properties
Magnetization, μB/f.u.: 0.0
SG: R-3m
Energy relative to the elements, kJ/mol of formula units: -347

POSCAR file:
```
CaPrEr2In4
1.0
-4.289 2.546 -1.985
-4.907 -2.065 0.693
-3.893 4.662 7.130
Pr In Er Ca
1 4 2 1
Cartesian
0.000 0.000 0.000
-9.508 2.181 1.562
-6.236 0.895 0.102
-3.580 2.962 4.275
-6.852 4.248 5.735
-9.812 3.835 4.342
-3.276 1.307 1.496
-6.544 2.571 2.919
```



[5]
Below is a relaxed Ac4Cd3Ag2 crystal, with properties calculated at the GGA-PBE level.

Properties
Magnetization, μB/f.u.: 0.0
SG: P-3m1
Energy relative to the elements, kJ/mol of formula units: -212

POSCAR file:
```
Ac4Cd3Ag2
1.0
5.486 0.001 0.001
2.743 4.748 0.181
-0.002 -0.411 10.813
Ac Ag Cd
4 2 3
Cartesian
2.741 4.472 7.400
5.486 -0.135 3.594
5.484 2.800 9.729
2.743 1.538 1.265
5.485 3.084 2.274
2.742 1.254 8.720
0.000 0.000 0.000
5.485 2.962 5.452
2.742 1.375 5.543
```



[6]
Below is a relaxed IrC2SI crystal, with properties calculated at the GGA-PBE level.

Properties
Magnetization, μB/f.u.: 0.3
SG: P4/mmm
E_form (uncorrected), eV/atom: 3.189

POSCAR file:
```
IrC2SI
1.0
4.061 0.000 0.000
0.000 5.016 0.000
0.000 0.000 4.061
C Ir I S
2 1 1 1
Cartesian
0.000 0.000 2.031
2.031 0.000 0.000
2.031 2.508 2.031
0.000 0.000 0.000
0.000 2.508 0.000
```



[7]
Below is a relaxed K2CuTc crystal, with properties calculated at the GGA-PBE level.

Properties
Distance to the lowest polymorph of the same formula, kJ per mole of atoms: 0.00
Magnetization, μB/f.u.: 0.3
SG: Pmm2
Energy relative to the elements, kJ/mol of formula units: 315

POSCAR file:
```
K2CuTc
1.0
-2.099 1.612 0.905
-1.398 0.287 -3.756
-5.745 -8.321 1.502
Tc K Cu
1 2 1
Cartesian
-3.394 -4.915 0.887
-3.672 -1.836 -0.923
-5.217 -7.556 1.364
-5.577 -4.596 -0.425
```



[8]
Below is a relaxed Ho2Zn15Pd2 crystal, with properties calculated at the GGA-PBE level.

Properties
Magnetization, μB/f.u.: 0.0
SG: R-3m
Energy relative to the elements, kJ/mol of formula units: -581

POSCAR file:
```
Ho2Zn15Pd2
1.0
-6.020 2.954 -0.999
-3.680 -4.270 3.767
-0.077 3.716 5.670
Ho Zn Pd
2 15 2
Cartesian
-6.489 1.593 5.601
-3.288 0.807 2.837
-3.480 2.667 5.751
-0.038 1.858 2.835
-4.530 3.648 3.620
-3.383 0.107 5.957
-5.247 -1.248 4.818
-1.122 1.400 5.118
-4.359 -2.175 2.385
-1.840 -2.135 1.884
-2.635 -1.954 4.319
-1.801 3.495 3.736
-5.341 0.859 0.383
-6.394 2.293 2.482
-6.296 -0.267 2.687
-3.010 1.477 -0.499
-4.296 3.175 0.935
-8.700 2.135 7.509
-1.077 0.264 0.929
```